[1]
VASP calculation (PBE-GGA) on an optimized crystal structure of CaBeCoSi2.

Computed properties:
- Density of states at the Fermi level: 3.38 states/eV/f.u.
- V: 74.9 Å³/f.u.
- ΔE_f (raw): -195 kJ/mol of formula units

Cell: 3.897 3.897 9.868 Å, 90.00 90.00 90.00°
Sites, in units of the cell vectors:
Ca  0.000  0.000  0.000
Ca  0.500  0.500  0.500
Be  0.000  0.500  0.750
Be  0.500  0.000  0.250
Co  0.000  0.500  0.250
Co  0.500  0.000  0.750
Si  0.000  0.000  0.373
Si  0.000  0.000  0.627
Si  0.500  0.500  0.127
Si  0.500  0.500  0.873

[2]
VASP calculation (PBE-GGA) on an optimized crystal structure of Ca2YBeCo.

Computed properties:
- Energy of formation: 0.47 eV/atom
- Density of states at the Fermi level: 3.56 states/eV/f.u.
- V: 140.8 Å³/f.u.

Cell: 5.264 5.264 5.081 Å, 90.00 90.00 90.00°
Sites, in units of the cell vectors:
Ca  0.000  0.500  0.000
Ca  0.500  0.000  0.000
Y  0.000  0.000  0.500
Be  0.500  0.500  0.500
Co  0.000  0.000  0.000

[3]
VASP calculation (PBE-GGA) on an optimized crystal structure of CaBeCr.

Computed properties:
- Energy of formation: 0.82 eV/atom
- Density of states at the Fermi level: 3.17 states/eV/f.u.
- Polymorph energy (0 for the lowest one): 92 kJ/mol of formula units
- V: 64.4 Å³/f.u.

Cell: 6.361 6.361 6.361 Å, 90.00 90.00 90.00°
Sites, in units of the cell vectors:
Ca  0.000  0.000  0.000
Ca  0.000  0.500  0.500
Ca  0.500  0.000  0.500
Ca  0.500  0.500  0.000
Be  0.250  0.250  0.250
Be  0.250  0.750  0.750
Be  0.750  0.250  0.750
Be  0.750  0.750  0.250
Cr  0.000  0.000  0.500
Cr  0.000  0.500  0.000
Cr  0.500  0.000  0.000
Cr  0.500  0.500  0.500

The highest V belongs to which entry?
Ca2YBeCo

density of states at the Fermi level of number 2 (Ca2YBeCo)?
3.56 states/eV/f.u.